Entry 1:
Entry from the Alexandria database: a relaxed structure of NiTe2Pt (PBE-GGA).

Values from the calculation:
E above lowest polymorph = 0.064 eV per atom
crystal system = orthorhombic
E_tot = -4.702 eV per atom

Unit cell a=5.4366 b=5.5595 c=7.1336 alpha=112.93 beta=112.40 gamma=90.00
Closest atoms and distances in Å follow each position.
Fractional coordinates of all 8 atoms:
Ni1 0.0000 0.2500 0.0000  4 Te 2.54, 2 Pt 2.72, 2 Ni 2.78
Ni2 0.0000 0.7500 0.0000  4 Te 2.54, 2 Pt 2.72, 2 Ni 2.78
Pt1 0.5000 0.7500 0.0000  4 Te 2.71, 2 Ni 2.72, 2 Pt 2.78
Te1 0.0737 0.8530 0.7060  2 Ni 2.54, 2 Pt 2.71
Te2 0.6324 0.3530 0.7060  2 Ni 2.54, 2 Pt 2.71
Te3 0.3676 0.6470 0.2940  2 Ni 2.54, 2 Pt 2.71
Pt2 0.5000 0.2500 0.0000  4 Te 2.71, 2 Ni 2.72, 2 Pt 2.78
Te4 0.9263 0.1470 0.2940  2 Ni 2.54, 2 Pt 2.71

***

Entry 2:
Entry from the Alexandria database: a relaxed structure of NiTe4Pt (PBE-GGA).

Values from the calculation:
E above lowest polymorph = 0.000 eV per atom
crystal system = monoclinic
E_tot = -4.369 eV per atom

Unit cell a=3.9930 b=5.3391 c=6.9256 alpha=90.44 beta=90.00 gamma=90.00
Closest atoms and distances in Å follow each position.
Fractional coordinates of all 6 atoms:
Te1 0.0000 0.7434 0.6751  1 Ni 2.63, 2 Pt 2.71
Te2 0.5000 0.2439 0.8441  2 Ni 2.62, 1 Pt 2.71
Pt1 0.5000 0.0000 0.5000  6 Te 2.71
Te3 0.5000 0.7561 0.1559  2 Ni 2.62, 1 Pt 2.71
Te4 0.0000 0.2566 0.3249  1 Ni 2.63, 2 Pt 2.71
Ni1 0.0000 0.0000 0.0000  6 Te 2.62-2.63

***

Entry 3:
Entry from the Alexandria database: a relaxed structure of Ni3Te4Pt (PBE-GGA).

Values from the calculation:
crystal system = cubic
E_tot = -4.639 eV per atom

Unit cell a=5.5966 b=5.5966 c=5.5966 alpha=90.00 beta=90.00 gamma=90.00
Closest atoms and distances in Å follow each position.
Fractional coordinates of all 8 atoms:
Ni1 0.0000 0.0000 0.5000  4 Te 2.52, 2 Pt 2.80
Te1 0.2772 0.2772 0.2772  3 Ni 2.52, 1 Pt 2.69
Ni2 0.5000 0.0000 0.0000  4 Te 2.52, 2 Pt 2.80
Ni3 0.0000 0.5000 0.0000  4 Te 2.52, 2 Pt 2.80
Te2 0.7228 0.2772 0.7228  3 Ni 2.52, 1 Pt 2.69
Pt1 0.0000 0.0000 0.0000  4 Te 2.69, 6 Ni 2.80
Te3 0.7228 0.7228 0.2772  3 Ni 2.52, 1 Pt 2.69
Te4 0.2772 0.7228 0.7228  3 Ni 2.52, 1 Pt 2.69

***

Entry 4:
Entry from the Alexandria database: a relaxed structure of NiTePt2 (PBE-GGA).

Values from the calculation:
E above lowest polymorph = 0.091 eV per atom
crystal system = cubic
E_tot = -5.179 eV per atom

Unit cell a=4.5304 b=4.5304 c=4.5304 alpha=60.00 beta=60.00 gamma=60.00
Closest atoms and distances in Å follow each position.
Fractional coordinates of all 4 atoms:
Pt1 0.2500 0.2500 0.2500  4 Ni 2.77, 4 Pt 2.77
Te1 0.7500 0.7500 0.7500  4 Ni 2.77, 4 Pt 2.77
Ni1 0.5000 0.5000 0.5000  4 Te 2.77, 4 Pt 2.77
Pt2 0.0000 0.0000 0.0000  4 Pt 2.77, 4 Te 2.77

***

Entry 5:
Entry from the Alexandria database: a relaxed structure of NiTe2Pt (PBE-GGA).

Values from the calculation:
E above lowest polymorph = 0.321 eV per atom
crystal system = trigonal
E_tot = -4.445 eV per atom

Unit cell a=8.2098 b=8.2098 c=8.2098 alpha=25.98 beta=25.98 gamma=25.98
Closest atoms and distances in Å follow each position.
Fractional coordinates of all 4 atoms:
Te1 0.8931 0.8931 0.8931  1 Pt 2.54, 3 Ni 2.56
Pt1 0.0000 0.0000 0.0000  2 Te 2.54
Te2 0.1069 0.1069 0.1069  1 Pt 2.54, 3 Ni 2.56
Ni1 0.5000 0.5000 0.5000  6 Te 2.56

***

Entry 6:
Entry from the Alexandria database: a relaxed structure of NiTePt (PBE-GGA).

Values from the calculation:
crystal system = trigonal
E_tot = -5.089 eV per atom

Unit cell a=4.2290 b=4.2290 c=7.7762 alpha=90.00 beta=90.00 gamma=120.00
Closest atoms and distances in Å follow each position.
Fractional coordinates of all 6 atoms:
Ni1 0.0000 0.0000 0.1772  3 Pt 2.55, 3 Te 2.59, 1 Ni 2.76
Pt1 0.3333 0.6667 0.9162  3 Ni 2.55, 3 Pt 2.77
Ni2 0.0000 0.0000 0.8228  3 Pt 2.55, 3 Te 2.59, 1 Ni 2.76
Te1 0.6667 0.3333 0.7100  3 Ni 2.59
Te2 0.3333 0.6667 0.2900  3 Ni 2.59
Pt2 0.6667 0.3333 0.0838  3 Ni 2.55, 3 Pt 2.77

***

Entry 7:
Entry from the Alexandria database: a relaxed structure of Ni3Te8Pt (PBE-GGA).

Values from the calculation:
crystal system = triclinic
E_tot = -4.299 eV per atom

Unit cell a=7.9036 b=7.8983 c=6.5868 alpha=106.87 beta=107.53 gamma=120.07
Closest atoms and distances in Å follow each position.
Fractional coordinates of all 12 atoms:
Ni1 0.5000 0.5000 0.0000  6 Te 2.60-2.63
Te1 0.7885 0.4537 0.2464  3 Ni 2.62-2.63
Ni2 0.0000 0.5000 0.0000  6 Te 2.59-2.63
Te2 0.2115 0.5463 0.7536  3 Ni 2.62-2.63
Te3 0.7023 0.5326 0.7479  2 Ni 2.61-2.62, 1 Pt 2.70
Te4 0.2933 0.9473 0.2444  2 Ni 2.59, 1 Pt 2.69
Ni3 0.5000 0.0000 0.0000  6 Te 2.59-2.62
Te5 0.2191 0.0498 0.7482  2 Ni 2.60-2.62, 1 Pt 2.71
Te6 0.7809 0.9502 0.2518  2 Ni 2.60-2.62, 1 Pt 2.71
Te7 0.7067 0.0527 0.7556  2 Ni 2.59, 1 Pt 2.69
Pt1 0.0000 0.0000 0.0000  6 Te 2.69-2.71
Te8 0.2977 0.4674 0.2521  2 Ni 2.61-2.62, 1 Pt 2.70

***

Entry 8:
Entry from the Alexandria database: a relaxed structure of NiTe2Pt (PBE-GGA).

Values from the calculation:
E above lowest polymorph = 0.135 eV per atom
crystal system = monoclinic
E_tot = -4.631 eV per atom

Unit cell a=3.8890 b=3.8890 c=6.5847 alpha=73.10 beta=73.10 gamma=59.84
Closest atoms and distances in Å follow each position.
Fractional coordinates of all 4 atoms:
Te1 0.0046 0.0046 0.9850  3 Ni 2.67-2.68, 3 Pt 2.78
Pt1 0.2500 0.2500 0.2500  6 Te 2.78
Te2 0.4954 0.4954 0.5150  3 Ni 2.67-2.68, 3 Pt 2.78
Ni1 0.7500 0.7500 0.7500  6 Te 2.67-2.68

***

Computed D(E_F) (states/eV/cell) in order:
5.37 2.56 8.95 2.12 2.33 2.69 7.70 2.99